! CsNaAg | Alexandria via LeMat-Bulk | PBE | relaxed; values from VASP
&SYSTEM
  ibrav = 0, nat = 6, ntyp = 3
/
ATOMIC_SPECIES
Cs 132.91 Cs.upf
Na 22.99 Na.upf
Ag 107.87 Ag.upf
ATOMIC_POSITIONS crystal
Cs 0.211 0.250 0.316
Cs 0.789 0.750 0.684
Na 0.353 0.250 0.903
Na 0.647 0.750 0.097
Ag 0.116 0.750 0.018
Ag 0.884 0.250 0.982
CELL_PARAMETERS angstrom
5.997 0.000 0.000
0.000 5.049 0.000
-1.348 0.000 9.823
! Total magnetic moment ... 0.000 μB per atom
! Energy of formation ... 3 meV/atom
! DOS(E_F) ... 3.13 states/eV/cell
! SG ... P2_1/m, No. 11
! Distance to the lowest polymorph of the same formula ... 0.0 kJ per mole of atoms